[1]
LiMn PBE optimized geometry; ΔH_f (0 K) = 1.26 eV/atom
1.0
4.5191 0.0000 0.0000
-2.2595 3.9136 0.0000
0.0000 0.0000 5.2736
Li Mn
2 2
Direct
0.3333 0.6667 0.2500
0.6667 0.3333 0.7500
0.3333 0.6667 0.7500
0.6667 0.3333 0.2500


[2]
LiMn PBE optimized geometry; ΔH_f (0 K) = 0.30 eV/atom
1.0
2.3488 0.0000 0.0000
0.0000 3.9059 0.0000
-0.8158 0.0000 5.2753
Li Mn
2 2
Direct
0.1388 0.2500 0.3788
0.8612 0.7500 0.6212
0.3965 0.7500 0.0811
0.6035 0.2500 0.9189


[3]
LiMn PBE optimized geometry; ΔH_f (0 K) = 0.24 eV/atom
1.0
2.5376 0.0000 0.0000
-1.2688 2.1977 0.0000
0.0000 0.0000 8.9970
Li Mn
2 2
Direct
0.3333 0.6667 0.1436
0.6667 0.3333 0.8564
0.3333 0.6667 0.6016
0.6667 0.3333 0.3984


[4]
LiMn5 PBE optimized geometry; ΔE to the lowest computed polymorph = 27 meV/atom; ΔH_f (0 K) = 0.25 eV/atom
1.0
4.0424 0.0000 0.0000
0.0000 1.2233 6.6634
0.0000 -1.2233 6.6634
Li Mn
1 5
Direct
0.0000 0.0000 0.0000
0.0000 0.3298 0.3298
0.0000 0.6692 0.6692
0.5000 0.2312 0.2312
0.5000 0.5664 0.5664
0.5000 0.8944 0.8944


[5]
Li3Mn5 PBE optimized geometry; ΔH_f (0 K) = 0.37 eV/atom
1.0
2.9989 -4.0985 0.0000
2.9989 4.0985 0.0000
0.0000 0.0000 4.0644
Li Mn
3 5
Direct
0.0000 0.0000 0.0000
0.2033 0.2033 0.5000
0.7967 0.7967 0.5000
0.0000 0.5000 0.0000
0.2978 0.7022 0.5000
0.5000 0.0000 0.0000
0.5000 0.5000 0.0000
0.7022 0.2978 0.5000


[6]
Li5Mn PBE optimized geometry; ΔH_f (0 K) = 0.20 eV/atom
1.0
2.4533 -7.3604 0.0000
2.4533 7.3604 0.0000
0.0000 0.0000 2.9363
Li Mn
5 1
Direct
0.0000 0.0000 0.0000
0.1621 0.8379 0.5000
0.3364 0.6636 0.0000
0.6636 0.3364 0.0000
0.8379 0.1621 0.5000
0.5000 0.5000 0.5000


[7]
Li4Mn5 PBE optimized geometry; ΔE to the lowest computed polymorph = 17 meV/atom; ΔH_f (0 K) = 0.36 eV/atom
1.0
7.4123 0.0000 0.0000
-3.7061 6.4192 0.0000
0.0000 0.0000 5.0725
Li Mn
8 10
Direct
0.0000 0.0000 0.0000
0.0000 0.0000 0.5000
0.0000 0.2827 0.2500
0.0000 0.7173 0.7500
0.2827 0.0000 0.2500
0.2827 0.2827 0.7500
0.7173 0.0000 0.7500
0.7173 0.7173 0.2500
0.0000 0.3984 0.7500
0.0000 0.6016 0.2500
0.3333 0.6667 0.0000
0.3333 0.6667 0.5000
0.3984 0.0000 0.7500
0.3984 0.3984 0.2500
0.6016 0.0000 0.2500
0.6016 0.6016 0.7500
0.6667 0.3333 0.0000
0.6667 0.3333 0.5000


[8]
LiMn PBE optimized geometry; ΔH_f (0 K) = 0.88 eV/atom
1.0
0.0000 2.5535 2.5535
2.5535 0.0000 2.5535
2.5535 2.5535 0.0000
Li Mn
1 1
Direct
0.0000 0.0000 0.0000
0.5000 0.5000 0.5000


no.,DOS at the Fermi energy (states/eV per atom),total magnetic moment (μB/f.u.)
1,1.278,4.14
2,0.858,0.00
3,0.530,0.00
4,1.134,0.30
5,0.845,7.51
6,0.541,3.76
7,1.126,5.01
8,0.849,4.02